# 1
Na5B9C, optimized geometry, DFT PBE; SG = Amm2, No. 38; D(E_F) = 0.22 states/eV/atom; mass density = 2.23 g cm⁻³; distance to the lowest polymorph of the same formula = 15 meV per atom
1.0
8.669 0.000 0.000
0.000 1.463 13.191
0.000 -1.463 13.191
Na B C
10 18 2
direct
0.246 0.000 0.000
0.247 0.599 0.599
0.249 0.198 0.198
0.249 0.400 0.400
0.249 0.799 0.799
0.751 0.198 0.198
0.751 0.400 0.400
0.751 0.799 0.799
0.753 0.599 0.599
0.754 0.000 0.000
0.000 0.066 0.066
0.000 0.133 0.133
0.000 0.266 0.266
0.000 0.332 0.332
0.000 0.466 0.466
0.000 0.533 0.533
0.000 0.666 0.666
0.000 0.733 0.733
0.000 0.866 0.866
0.000 0.933 0.933
0.500 0.067 0.067
0.500 0.265 0.265
0.500 0.329 0.329
0.500 0.477 0.477
0.500 0.658 0.658
0.500 0.725 0.725
0.500 0.872 0.872
0.500 0.936 0.936
0.500 0.128 0.128
0.500 0.536 0.536

# 2
Na5B8C2, optimized geometry, DFT PBE; SG = Amm2, No. 38; D(E_F) = 0.23 states/eV/atom; mass density = 2.32 g cm⁻³; distance to the lowest polymorph of the same formula = 20 meV per atom
1.0
8.621 0.000 0.000
0.000 1.422 13.142
0.000 -1.422 13.142
Na B C
10 16 4
direct
0.244 0.000 0.000
0.247 0.201 0.201
0.249 0.600 0.600
0.250 0.401 0.401
0.250 0.801 0.801
0.750 0.401 0.401
0.750 0.801 0.801
0.751 0.600 0.600
0.753 0.201 0.201
0.756 0.000 0.000
0.000 0.071 0.071
0.000 0.274 0.274
0.000 0.461 0.461
0.000 0.532 0.532
0.000 0.664 0.664
0.000 0.734 0.734
0.000 0.867 0.867
0.500 0.065 0.065
0.500 0.128 0.128
0.500 0.271 0.271
0.500 0.336 0.336
0.500 0.526 0.526
0.500 0.669 0.669
0.500 0.732 0.732
0.500 0.872 0.872
0.500 0.938 0.938
0.000 0.133 0.133
0.000 0.336 0.336
0.000 0.931 0.931
0.500 0.467 0.467

# 3
Na5B8C2, optimized geometry, DFT PBE; SG = P1, No. 1; D(E_F) = 0.26 states/eV/atom; mass density = 2.32 g cm⁻³; distance to the lowest polymorph of the same formula = 39 meV per atom
1.0
5.094 0.000 0.000
2.546 7.332 0.000
2.543 1.476 8.631
Na B C
10 16 4
direct
0.000 0.000 0.000
0.000 0.500 0.494
0.199 0.599 0.002
0.203 0.099 0.496
0.398 0.200 0.999
0.403 0.701 0.495
0.599 0.301 0.497
0.602 0.799 0.000
0.799 0.399 0.998
0.802 0.901 0.495
0.022 0.348 0.248
0.162 0.752 0.248
0.165 0.242 0.748
0.220 0.447 0.748
0.240 0.959 0.248
0.362 0.850 0.748
0.365 0.348 0.248
0.441 0.053 0.748
0.455 0.549 0.247
0.557 0.459 0.747
0.645 0.647 0.747
0.649 0.140 0.248
0.791 0.032 0.748
0.818 0.254 0.747
0.821 0.751 0.247
0.973 0.668 0.748
0.046 0.850 0.748
0.566 0.950 0.248
0.763 0.550 0.247
0.966 0.150 0.248

# 4
Na5B6C4, optimized geometry, DFT PBE; SG = C2/m, No. 12; D(E_F) = 0.10 states/eV/atom; mass density = 2.52 g cm⁻³; distance to the lowest polymorph of the same formula = 2 meV per atom
1.0
11.320 -1.416 0.000
11.320 1.416 0.000
-3.036 0.000 9.359
Na B C
10 12 8
direct
0.000 0.000 0.000
0.099 0.099 0.699
0.200 0.200 0.400
0.301 0.301 0.099
0.399 0.399 0.801
0.500 0.500 0.500
0.601 0.601 0.199
0.699 0.699 0.901
0.800 0.800 0.600
0.901 0.901 0.301
0.019 0.019 0.289
0.118 0.118 0.985
0.189 0.189 0.128
0.213 0.213 0.676
0.384 0.384 0.518
0.423 0.423 0.096
0.577 0.577 0.904
0.616 0.616 0.482
0.787 0.787 0.324
0.811 0.811 0.872
0.882 0.882 0.015
0.981 0.981 0.711
0.085 0.085 0.419
0.279 0.279 0.809
0.318 0.318 0.388
0.487 0.487 0.225
0.513 0.513 0.775
0.682 0.682 0.612
0.721 0.721 0.191
0.915 0.915 0.581

For reference, formation energy by record: 252 191 209 54 meV/atom.